Entry 1:
{
  "formula": "Ga2Fe4Bi",
  "functional": "PBE",
  "state": "relaxed",
  "lattice_angstrom": [[4.8108, 0.0000, 0.0000], [0.0000, 4.8108, 0.0000], [2.4054, 2.4054, 6.3833]],
  "species": ["Bi", "Ga", "Ga", "Fe", "Fe", "Fe", "Fe"],
  "fractional_positions": [[0.0000, 0.0000, 0.0000], [0.6028, 0.6028, 0.7943], [0.3972, 0.3972, 0.2057], [0.7889, 0.7889, 0.4222], [0.2111, 0.2111, 0.5778], [0.0000, 0.5000, 0.0000], [0.5000, 0.0000, 0.0000]],
  "e_form_ev_per_atom": 1.1582,
  "density_g_cm3": 6.43,
  "magmom_total_mub_per_fu": 10.4,
  "dos_at_fermi_per_ev_cell": 8.40
}

=====

Entry 2:
{
  "formula": "Ba3Sc2N4",
  "functional": "PBE",
  "state": "relaxed",
  "lattice_angstrom": [[7.6441, 0.0032, -0.0009], [-6.3878, 7.5369, 0.0000], [-0.3187, -0.2701, 6.5527]],
  "species": ["Sc", "Sc", "Sc", "Sc", "Ba", "Ba", "Ba", "Ba", "Ba", "Ba", "N", "N", "N", "N", "N", "N", "N", "N"],
  "fractional_positions": [[0.5466, 0.1618, 0.5755], [0.4534, 0.6152, 0.9245], [0.4534, 0.8382, 0.4245], [0.5466, 0.3848, 0.0755], [0.2279, 0.9492, 0.0803], [0.7721, 0.7213, 0.4197], [0.7721, 0.0508, 0.9197], [0.2279, 0.2787, 0.5803], [0.0000, 0.5862, 0.7500], [0.0000, 0.4138, 0.2500], [0.2409, 0.8974, 0.4994], [0.7591, 0.6565, 0.0006], [0.7591, 0.1026, 0.5006], [0.2409, 0.3435, 0.9994], [0.6178, 0.2452, 0.8929], [0.3822, 0.6274, 0.6071], [0.3822, 0.7548, 0.1071], [0.6178, 0.3726, 0.3929]],
  "e_form_raw_ev_per_atom": -0.935,
  "density_g_cm3": 4.91,
  "magmom_total_mub_per_fu": 0.0,
  "dos_at_fermi_per_ev_cell": 0.00
}

=====

Entry 3:
{
  "formula": "BaNa2SbO",
  "functional": "PBE",
  "state": "relaxed",
  "lattice_angstrom": [[-2.9186, 1.3274, -3.8619], [-3.9442, 0.3137, 3.0886], [1.1007, 5.0247, 0.8953]],
  "species": ["Sb", "Ba", "O", "Na", "Na"],
  "fractional_positions": [[0.5000, 0.5000, 0.5000], [0.0000, 0.0000, 0.5000], [0.0000, 0.0000, 0.0000], [0.0000, 0.5000, 0.0000], [0.5000, 0.0000, 0.0000]],
  "e_form_raw_ev_per_atom": -1.062,
  "density_g_cm3": 4.05,
  "magmom_total_mub_per_fu": 0.4,
  "dos_at_fermi_per_ev_cell": 5.10
}

=====

Entry 4:
{
  "formula": "Al2HgP",
  "functional": "PBE",
  "state": "relaxed",
  "lattice_angstrom": [[-1.9374, 0.6611, 2.8750], [-2.5683, -2.2305, 0.9408], [3.0689, -4.1104, 5.1438]],
  "species": ["P", "Hg", "Al", "Al"],
  "fractional_positions": [[0.2500, 0.2500, 0.2500], [0.7500, 0.7500, 0.7500], [0.9842, 0.9842, 0.0447], [0.5158, 0.5158, 0.4553]],
  "e_form_ev_per_atom": -0.1162,
  "density_g_cm3": 6.29,
  "magmom_total_mub_per_fu": 0.0,
  "polymorph_energy_mev_per_atom": 0,
  "dos_at_fermi_per_ev_cell": 1.27
}

=====

- What is the formula in the third record?
  BaNa2SbO